[1]
# TiSiIrRh, relaxed, DFT GGA-PBE
# Magnetization, μB per atom: 0.00
# DFT total energy, eV/atom: -8.094
# Formation energy without anion corrections, eV per atom: -0.712
data_TiSiIrRh
_symmetry_space_group_name_H-M 'P 1'
_symmetry_Int_Tables_number 1
_cell_length_a 4.3112
_cell_length_b 4.3112
_cell_length_c 4.3112
_cell_angle_alpha 60.00
_cell_angle_beta 60.00
_cell_angle_gamma 60.00
loop_
_symmetry_equiv_pos_as_xyz
'x,y,z'
loop_
_atom_site_label
_atom_site_type_symbol
_atom_site_fract_x
_atom_site_fract_y
_atom_site_fract_z
Si1 Si 0.2500 0.2500 0.2500
Ir1 Ir 0.5000 0.5000 0.5000
Rh1 Rh 0.0000 0.0000 0.0000
Ti1 Ti 0.7500 0.7500 0.7500


[2]
# Pr3Ho7Tm2, relaxed, DFT GGA-PBE
# Distance to the lowest polymorph of the same formula, meV/atom: 0.0
# Magnetization, μB per atom: 0.00
# DFT total energy, eV/atom: -4.521
# ΔE_f, eV per atom: 0.089
data_Pr3Ho7Tm2
_symmetry_space_group_name_H-M 'P 1'
_symmetry_Int_Tables_number 1
_cell_length_a 3.5642
_cell_length_b 5.8250
_cell_length_c 18.7899
_cell_angle_alpha 93.00
_cell_angle_beta 90.00
_cell_angle_gamma 90.00
loop_
_symmetry_equiv_pos_as_xyz
'x,y,z'
loop_
_atom_site_label
_atom_site_type_symbol
_atom_site_fract_x
_atom_site_fract_y
_atom_site_fract_z
Pr1 Pr 0.5000 0.5000 0.0000
Pr2 Pr 0.0000 0.2226 0.3660
Pr3 Pr 0.0000 0.7774 0.6340
Ho1 Ho 0.5000 0.7430 0.4622
Ho2 Ho 0.5000 0.2570 0.5378
Ho3 Ho 0.0000 0.6918 0.1442
Ho4 Ho 0.0000 0.0000 0.0000
Ho5 Ho 0.0000 0.3082 0.8558
Ho6 Ho 0.5000 0.8057 0.8238
Ho7 Ho 0.5000 0.1943 0.1762
Tm1 Tm 0.5000 0.7115 0.2920
Tm2 Tm 0.5000 0.2885 0.7080


[3]
# CaErTe4Pb2, relaxed, DFT GGA-PBE
# Magnetization, μB per atom: 0.00
# DFT total energy, eV/atom: -4.176
# Formation energy without anion corrections, eV per atom: -0.857
data_CaErTe4Pb2
_symmetry_space_group_name_H-M 'P 1'
_symmetry_Int_Tables_number 1
_cell_length_a 4.5251
_cell_length_b 7.9206
_cell_length_c 7.9528
_cell_angle_alpha 108.93
_cell_angle_beta 90.00
_cell_angle_gamma 90.00
loop_
_symmetry_equiv_pos_as_xyz
'x,y,z'
loop_
_atom_site_label
_atom_site_type_symbol
_atom_site_fract_x
_atom_site_fract_y
_atom_site_fract_z
Ca1 Ca 0.0000 0.0000 0.0000
Er1 Er 0.5000 0.5000 0.0000
Te1 Te 0.5000 0.2535 0.2360
Te2 Te 0.5000 0.7465 0.7640
Te3 Te 0.0000 0.2661 0.7701
Te4 Te 0.0000 0.7339 0.2299
Pb1 Pb 0.5000 0.0000 0.5000
Pb2 Pb 0.0000 0.5000 0.5000


[4]
# Nd2ErLu, relaxed, DFT GGA-PBE
# Distance to the lowest polymorph of the same formula, meV/atom: 3.4
# Magnetization, μB per atom: 0.00
# DFT total energy, eV/atom: -4.632
# ΔE_f, eV per atom: 0.022
data_Nd2ErLu
_symmetry_space_group_name_H-M 'P 1'
_symmetry_Int_Tables_number 1
_cell_length_a 4.9776
_cell_length_b 5.1033
_cell_length_c 5.1033
_cell_angle_alpha 90.00
_cell_angle_beta 90.00
_cell_angle_gamma 90.00
loop_
_symmetry_equiv_pos_as_xyz
'x,y,z'
loop_
_atom_site_label
_atom_site_type_symbol
_atom_site_fract_x
_atom_site_fract_y
_atom_site_fract_z
Lu1 Lu 0.5000 0.0000 0.0000
Nd1 Nd 0.0000 0.0000 0.5000
Nd2 Nd 0.0000 0.5000 0.0000
Er1 Er 0.5000 0.5000 0.5000


[5]
# Tb2IrI, relaxed, DFT GGA-PBE
# Distance to the lowest polymorph of the same formula, meV/atom: 0.0
# Magnetization, μB per atom: 0.00
# DFT total energy, eV/atom: -5.902
# Formation energy without anion corrections, eV per atom: -0.984
data_Tb2IrI
_symmetry_space_group_name_H-M 'P 1'
_symmetry_Int_Tables_number 1
_cell_length_a 4.1308
_cell_length_b 4.1308
_cell_length_c 8.2485
_cell_angle_alpha 75.50
_cell_angle_beta 75.50
_cell_angle_gamma 60.00
loop_
_symmetry_equiv_pos_as_xyz
'x,y,z'
loop_
_atom_site_label
_atom_site_type_symbol
_atom_site_fract_x
_atom_site_fract_y
_atom_site_fract_z
I1 I 0.5000 0.5000 0.5000
Ir1 Ir 0.0000 0.0000 0.0000
Tb1 Tb 0.2734 0.2734 0.1798
Tb2 Tb 0.7266 0.7266 0.8202


[6]
# NdSm5YTm2, relaxed, DFT GGA-PBE
# Magnetization, μB per atom: 0.00
# DFT total energy, eV/atom: -4.707
# ΔE_f, eV per atom: 0.156
data_NdSm5YTm2
_symmetry_space_group_name_H-M 'P 1'
_symmetry_Int_Tables_number 1
_cell_length_a 5.6378
_cell_length_b 10.5370
_cell_length_c 10.6606
_cell_angle_alpha 90.00
_cell_angle_beta 90.00
_cell_angle_gamma 105.52
loop_
_symmetry_equiv_pos_as_xyz
'x,y,z'
loop_
_atom_site_label
_atom_site_type_symbol
_atom_site_fract_x
_atom_site_fract_y
_atom_site_fract_z
Nd1 Nd 0.7990 0.5979 0.5112
Nd2 Nd 0.2010 0.4021 0.0112
Sm1 Sm 0.3920 0.7839 0.0255
Sm2 Sm 0.7199 0.4398 0.8087
Sm3 Sm 0.4788 0.9575 0.7408
Sm4 Sm 0.2985 0.5969 0.7060
Sm5 Sm 0.9841 0.9681 0.5226
Sm6 Sm 0.6080 0.2161 0.5255
Sm7 Sm 0.2801 0.5602 0.3087
Sm8 Sm 0.5212 0.0425 0.2408
Sm9 Sm 0.7015 0.4031 0.2060
Sm10 Sm 0.0159 0.0319 0.0226
Y1 Y 0.5890 0.1779 0.9547
Y2 Y 0.4110 0.8221 0.4547
Tm1 Tm 0.8849 0.7699 0.8170
Tm2 Tm 0.1106 0.2213 0.7375
Tm3 Tm 0.1151 0.2301 0.3170
Tm4 Tm 0.8894 0.7787 0.2375


Please write out number 3 again, unchanged.
# CaErTe4Pb2, relaxed, DFT GGA-PBE
# Magnetization, μB per atom: 0.00
# DFT total energy, eV/atom: -4.176
# Formation energy without anion corrections, eV per atom: -0.857
data_CaErTe4Pb2
_symmetry_space_group_name_H-M 'P 1'
_symmetry_Int_Tables_number 1
_cell_length_a 4.5251
_cell_length_b 7.9206
_cell_length_c 7.9528
_cell_angle_alpha 108.93
_cell_angle_beta 90.00
_cell_angle_gamma 90.00
loop_
_symmetry_equiv_pos_as_xyz
'x,y,z'
loop_
_atom_site_label
_atom_site_type_symbol
_atom_site_fract_x
_atom_site_fract_y
_atom_site_fract_z
Ca1 Ca 0.0000 0.0000 0.0000
Er1 Er 0.5000 0.5000 0.0000
Te1 Te 0.5000 0.2535 0.2360
Te2 Te 0.5000 0.7465 0.7640
Te3 Te 0.0000 0.2661 0.7701
Te4 Te 0.0000 0.7339 0.2299
Pb1 Pb 0.5000 0.0000 0.5000
Pb2 Pb 0.0000 0.5000 0.5000


Q: Look up the magnetization of the third one.
A: 0.00 μB per atom